1.
NiH12C6S4N2 | GGA-PBE | relaxed

a b c (Å): 6.507 6.811 7.562
angles (deg): 67.54 66.86 85.20
Sites, in units of the cell vectors:
C 0.167 0.778 0.098
C 0.492 0.663 0.191
C 0.188 0.404 0.296
C 0.812 0.596 0.704
C 0.508 0.337 0.809
C 0.833 0.222 0.902
H 0.609 0.739 0.027
H 0.729 0.150 0.069
H 0.003 0.719 0.122
H 0.143 0.898 0.168
H 0.466 0.776 0.269
H 0.563 0.521 0.270
H 0.437 0.479 0.730
H 0.534 0.224 0.731
H 0.857 0.102 0.832
H 0.997 0.281 0.878
H 0.271 0.850 0.931
H 0.391 0.261 0.973
N 0.278 0.604 0.198
N 0.722 0.396 0.802
Ni 0.000 0.000 0.500
S 0.936 0.318 0.317
S 0.306 0.186 0.419
S 0.694 0.814 0.581
S 0.064 0.682 0.683

Its space-group type is P-1.

=====

2.
NiH22C26S2N4 | GGA-PBE | relaxed

a b c (Å): 10.887 10.887 9.833
angles (deg): 90.93 90.93 81.93
Site moments in Bohr magnetons follow the coordinates.
Sites, in units of the cell vectors:
C 0.070 0.633 0.003  0.01
C 0.487 0.361 0.038  0.00
C 0.844 0.714 0.048  0.00
C 0.192 0.604 0.050  0.00
C 0.874 0.940 0.078  0.00
C 0.795 0.849 0.079  0.00
C 0.976 0.677 0.094  0.00
C 0.828 0.065 0.103  0.00
C 0.669 0.885 0.107  0.00
C 0.702 0.100 0.130  0.00
C 0.623 0.010 0.131  0.00
C 0.342 0.866 0.230  0.00
C 0.011 0.688 0.231  0.01
C 0.312 0.989 0.269  0.01
C 0.134 0.658 0.270  0.00
C 0.990 0.377 0.369  0.00
C 0.900 0.298 0.370  0.00
C 0.115 0.331 0.393  0.00
C 0.935 0.172 0.397  0.00
C 0.323 0.024 0.406  0.00
C 0.151 0.205 0.421  0.00
C 0.060 0.126 0.422  0.00
C 0.396 0.808 0.450  0.00
C 0.286 0.156 0.452  0.00
C 0.639 0.513 0.462  0.00
C 0.367 0.930 0.497  0.01
C 0.633 0.070 0.503  0.01
C 0.361 0.487 0.538  0.00
C 0.714 0.844 0.548  0.00
C 0.604 0.192 0.550  0.00
C 0.940 0.874 0.578  0.00
C 0.849 0.795 0.579  0.00
C 0.677 0.976 0.594  0.00
C 0.065 0.828 0.603  0.00
C 0.885 0.669 0.607  0.00
C 0.100 0.702 0.630  0.00
C 0.010 0.623 0.631  0.00
C 0.866 0.342 0.730  0.00
C 0.688 0.011 0.731  0.01
C 0.989 0.312 0.769  0.01
C 0.658 0.134 0.770  0.00
C 0.377 0.990 0.869  0.00
C 0.298 0.900 0.870  0.00
C 0.331 0.115 0.893  0.00
C 0.172 0.935 0.897  0.00
C 0.024 0.323 0.906  0.00
C 0.205 0.151 0.921  0.00
C 0.126 0.060 0.922  0.00
C 0.808 0.396 0.950  0.00
C 0.156 0.286 0.952  0.00
C 0.513 0.639 0.962  0.00
C 0.930 0.367 0.997  0.01
H 0.733 0.429 0.019  0.00
H 0.973 0.914 0.060  0.00
H 0.165 0.305 0.061  0.00
H 0.785 0.655 0.099  0.00
H 0.890 0.134 0.104  0.00
H 0.950 0.377 0.105  0.00
H 0.607 0.815 0.110  0.00
H 0.334 0.837 0.124  0.00
H 0.666 0.197 0.151  0.00
H 0.525 0.036 0.152  0.00
H 0.277 0.057 0.192  0.00
H 0.943 0.723 0.308  0.00
H 0.964 0.475 0.348  0.00
H 0.803 0.334 0.349  0.00
H 0.163 0.666 0.376  0.00
H 0.185 0.393 0.390  0.00
H 0.623 0.050 0.395  0.00
H 0.866 0.110 0.396  0.00
H 0.345 0.215 0.401  0.00
H 0.695 0.835 0.439  0.00
H 0.086 0.027 0.440  0.00
H 0.571 0.267 0.481  0.00
H 0.429 0.733 0.519  0.00
H 0.914 0.973 0.560  0.00
H 0.305 0.165 0.561  0.00
H 0.655 0.785 0.599  0.00
H 0.134 0.890 0.604  0.00
H 0.377 0.950 0.605  0.00
H 0.815 0.607 0.610  0.00
H 0.837 0.334 0.624  0.00
H 0.197 0.666 0.651  0.00
H 0.036 0.525 0.652  0.00
H 0.057 0.277 0.692  0.00
H 0.723 0.943 0.808  0.00
H 0.475 0.964 0.848  0.00
H 0.334 0.803 0.849  0.00
H 0.666 0.163 0.876  0.00
H 0.393 0.185 0.890  0.00
H 0.050 0.623 0.895  0.00
H 0.110 0.866 0.896  0.00
H 0.215 0.345 0.901  0.00
H 0.835 0.695 0.939  0.00
H 0.027 0.086 0.940  0.00
H 0.267 0.571 0.981  0.00
N 0.469 0.637 0.071  0.08
N 0.224 0.617 0.182  0.08
N 0.383 0.776 0.318  0.08
N 0.363 0.531 0.429  0.08
N 0.637 0.469 0.571  0.08
N 0.617 0.224 0.682  0.08
N 0.776 0.383 0.818  0.08
N 0.531 0.363 0.929  0.08
Ni 0.409 0.591 0.250  1.42
Ni 0.591 0.409 0.750  1.42
S 0.427 0.364 0.189  0.06
S 0.636 0.573 0.312  0.06
S 0.364 0.427 0.689  0.06
S 0.573 0.636 0.812  0.06

Its space-group type is C2/c.

=====

no.,raw total energy (eV per atom),calculated volume (Å³ per cell)
1,-5.50,283.9
2,-6.56,1153.6